[1]
The following is a DFT calculation (GGA-PBE) of a relaxed La4Ni3Sn8 crystal.

- DOS(E_F) (states/eV/f.u.) = 6.7
- energy of formation from the pure elements (kJ/mol of formula units) = -959

a = 4.563 Å, b = 4.570 Å, c = 18.082 Å
α = 90.00°, β = 90.00°, γ = 90.00°
Element x y z (fractional)
Sn (0.000, 0.500, 0.552)
Sn (0.500, 0.500, 0.758)
La (0.000, 0.500, 0.893)
Sn (0.500, 0.000, 0.248)
La (0.500, 0.500, 0.392)
Sn (0.000, 0.000, 0.757)
Ni (0.000, 0.000, 0.317)
Sn (0.500, 0.500, 0.042)
Sn (0.000, 0.500, 0.249)
Ni (0.000, 0.500, 0.690)
La (0.500, 0.000, 0.608)
La (0.000, 0.000, 0.105)
Sn (0.500, 0.000, 0.939)
Sn (0.000, 0.000, 0.455)
Ni (0.500, 0.500, 0.181)

=====

[2]
The following is a DFT calculation (GGA-PBE) of a relaxed AcCu2IrO8 crystal.

- DOS(E_F) (states/eV/f.u.) = 7.2
- formation energy without anion corrections (eV/atom) = -0.736

a = 5.954 Å, b = 5.954 Å, c = 5.954 Å
α = 107.46°, β = 107.46°, γ = 113.57°
Each line ends with the local moment (μB).
Element x y z (fractional)
O (0.363, 0.016, 0.347)  0.14
Cu (0.500, 0.500, 0.000)  0.07
Ac (0.000, 0.000, 0.000)  0.04
O (0.471, 0.687, 0.784)  0.09
Cu (0.750, 0.250, 0.500)  0.26
O (0.984, 0.332, 0.347)  0.14
O (0.984, 0.637, 0.653)  0.14
O (0.903, 0.687, 0.216)  0.09
Ir (0.250, 0.750, 0.500)  0.27
O (0.668, 0.016, 0.653)  0.14
O (0.313, 0.097, 0.784)  0.09
O (0.313, 0.529, 0.216)  0.09

=====

[3]
The following is a DFT calculation (GGA-PBE) of a relaxed Li6UPd12 crystal.

- DOS(E_F) (states/eV/f.u.) = 8.3
- energy of formation from the pure elements (kJ/mol of formula units) = -776

a = 6.861 Å, b = 7.350 Å, c = 7.350 Å
α = 69.22°, β = 71.87°, γ = 108.13°
Element x y z (fractional)
Pd (0.902, 0.636, 0.932)
Pd (0.265, 0.432, 0.636)
Li (0.564, 0.513, 0.794)
Pd (0.098, 0.364, 0.068)
U (0.000, 0.000, 0.000)
Li (0.949, 0.307, 0.487)
Li (0.051, 0.693, 0.513)
Pd (0.523, 0.838, 0.267)
Pd (0.685, 0.895, 0.838)
Pd (0.315, 0.105, 0.162)
Li (0.358, 0.794, 0.693)
Pd (0.167, 0.068, 0.568)
Li (0.436, 0.487, 0.206)
Pd (0.477, 0.162, 0.733)
Pd (0.735, 0.568, 0.364)
Pd (0.790, 0.267, 0.895)
Pd (0.833, 0.932, 0.432)
Pd (0.210, 0.733, 0.105)
Li (0.642, 0.206, 0.307)

=====

[4]
The following is a DFT calculation (GGA-PBE) of a relaxed Tb6Pm2Sm3In crystal.

- DOS(E_F) (states/eV/f.u.) = 16.0
- energy of formation from the pure elements (kJ/mol of formula units) = -62

a = 6.153 Å, b = 6.153 Å, c = 11.795 Å
α = 95.01°, β = 95.01°, γ = 120.05°
Element x y z (fractional)
Tb (0.409, 0.082, 0.247)
Tb (0.756, 0.756, 0.248)
Tb (0.082, 0.409, 0.247)
In (0.000, 0.000, 0.000)
Sm (0.167, 0.833, 0.500)
Tb (0.591, 0.918, 0.753)
Pm (0.334, 0.666, 0.000)
Sm (0.833, 0.167, 0.500)
Tb (0.918, 0.591, 0.753)
Sm (0.500, 0.500, 0.500)
Pm (0.666, 0.334, 0.000)
Tb (0.244, 0.244, 0.752)

=====

[5]
The following is a DFT calculation (GGA-PBE) of a relaxed Li2CdSnHg5 crystal.

- DOS(E_F) (states/eV/f.u.) = 2.1
- energy of formation from the pure elements (kJ/mol of formula units) = -67

a = 9.120 Å, b = 6.750 Å, c = 6.750 Å
α = 90.00°, β = 90.00°, γ = 90.00°
Element x y z (fractional)
Hg (0.737, 0.680, 0.820)
Li (0.500, 0.864, 0.636)
Hg (0.500, 0.000, 0.000)
Li (0.500, 0.636, 0.136)
Hg (0.263, 0.680, 0.820)
Hg (0.500, 0.500, 0.500)
Sn (0.000, 0.000, 0.000)
Hg (0.737, 0.320, 0.180)
Hg (0.737, 0.820, 0.320)
Cd (0.000, 0.000, 0.500)
Cd (0.000, 0.500, 0.000)
Hg (0.737, 0.180, 0.680)
Hg (0.263, 0.820, 0.320)
Sn (0.000, 0.500, 0.500)
Li (0.500, 0.136, 0.364)
Hg (0.263, 0.180, 0.680)
Li (0.500, 0.364, 0.864)
Hg (0.263, 0.320, 0.180)

=====

[6]
The following is a DFT calculation (GGA-PBE) of a relaxed ZnTcSe2 crystal.

- DOS(E_F) (states/eV/f.u.) = 2.9
- formation energy without anion corrections (eV/atom) = 0.081

a = 6.628 Å, b = 6.628 Å, c = 6.628 Å
α = 153.38°, β = 145.00°, γ = 44.51°
Element x y z (fractional)
Tc (0.470, 0.470, 0.000)
Se (0.034, 0.034, 0.000)
Zn (0.688, 0.188, 0.500)
Se (0.308, 0.808, 0.500)

=====

[7]
The following is a DFT calculation (GGA-PBE) of a relaxed Er4Tm7In crystal.

- DOS(E_F) (states/eV/f.u.) = 20.5
- energy of formation from the pure elements (kJ/mol of formula units) = 238

a = 5.767 Å, b = 11.481 Å, c = 6.634 Å
α = 78.42°, β = 64.24°, γ = 75.45°
Element x y z (fractional)
Er (0.624, 0.231, 0.520)
Tm (0.500, 0.000, 0.000)
Tm (0.900, 0.280, 0.919)
Tm (0.100, 0.720, 0.081)
Tm (0.203, 0.082, 0.512)
Tm (0.631, 0.527, 0.210)
In (0.000, 0.000, 0.000)
Tm (0.369, 0.473, 0.790)
Er (0.860, 0.617, 0.663)
Er (0.376, 0.769, 0.480)
Er (0.140, 0.383, 0.337)
Tm (0.797, 0.918, 0.488)

=====

[8]
The following is a DFT calculation (GGA-PBE) of a relaxed Ti2HIrPd crystal.

- DOS(E_F) (states/eV/f.u.) = 4.3
- final energy (eV/atom) = -7.187

a = 4.064 Å, b = 4.064 Å, c = 3.814 Å
α = 90.00°, β = 90.00°, γ = 90.00°
Each line ends with the local moment (μB).
Element x y z (fractional)
H (0.000, 0.000, 0.000)  0.00
Ir (0.500, 0.500, 0.500)  -0.01
Pd (0.000, 0.000, 0.500)  0.01
Ti (0.000, 0.500, 0.000)  0.29
Ti (0.500, 0.000, 0.000)  0.29

=====

[9]
The following is a DFT calculation (GGA-PBE) of a relaxed LaTaAg3 crystal.

- DOS(E_F) (states/eV/f.u.) = 4.4
- energy of formation from the pure elements (kJ/mol of formula units) = 881

a = 5.236 Å, b = 5.236 Å, c = 5.236 Å
α = 90.00°, β = 90.00°, γ = 90.00°
Element x y z (fractional)
Ta (0.500, 0.500, 0.500)
Ag (0.000, 0.000, 0.500)
La (0.000, 0.000, 0.000)
Ag (0.000, 0.500, 0.000)
Ag (0.500, 0.000, 0.000)

=====

[10]
The following is a DFT calculation (GGA-PBE) of a relaxed Sr2MnCd crystal.

- DOS(E_F) (states/eV/f.u.) = 5.7
- energy of formation from the pure elements (kJ/mol of formula units) = 181

a = 8.843 Å, b = 8.843 Å, c = 7.212 Å
α = 52.18°, β = 52.18°, γ = 90.00°
Each line ends with the local moment (μB).
Element x y z (fractional)
Sr (0.375, 0.383, 0.750)  -0.06
Mn (0.500, 0.500, 0.000)  4.00
Cd (0.000, 0.000, 0.000)  -0.02
Sr (0.617, 0.125, 0.250)  -0.05
Cd (0.750, 0.250, 0.500)  -0.02
Sr (0.875, 0.867, 0.750)  -0.05
Mn (0.250, 0.750, 0.500)  4.00
Sr (0.133, 0.625, 0.250)  -0.05

=====

[11]
The following is a DFT calculation (GGA-PBE) of a relaxed Ca2TaRe crystal.

- DOS(E_F) (states/eV/f.u.) = 5.3
- energy of formation from the pure elements (kJ/mol of formula units) = 348

a = 10.889 Å, b = 10.889 Å, c = 10.889 Å
α = 15.94°, β = 15.94°, γ = 15.94°
Element x y z (fractional)
Re (0.250, 0.250, 0.250)
Ta (0.750, 0.750, 0.750)
Ca (0.996, 0.996, 0.996)
Ca (0.504, 0.504, 0.504)

=====

[12]
The following is a DFT calculation (GGA-PBE) of a relaxed Ac2In4SnAu3 crystal.

- DOS(E_F) (states/eV/f.u.) = 4.3
- energy of formation from the pure elements (kJ/mol of formula units) = -516

a = 4.705 Å, b = 4.705 Å, c = 11.894 Å
α = 90.00°, β = 90.00°, γ = 90.00°
Element x y z (fractional)
In (0.500, 0.500, 0.000)
Au (0.000, 0.500, 0.133)
Au (0.000, 0.000, 0.500)
Au (0.500, 0.000, 0.867)
In (0.000, 0.500, 0.359)
Sn (0.500, 0.500, 0.500)
In (0.000, 0.000, 0.000)
Ac (0.500, 0.000, 0.246)
Ac (0.000, 0.500, 0.754)
In (0.500, 0.000, 0.641)

=====

[13]
The following is a DFT calculation (GGA-PBE) of a relaxed Pa2GaRh2 crystal.

- DOS(E_F) (states/eV/f.u.) = 5.6
- energy of formation from the pure elements (kJ/mol of formula units) = -362

a = 4.545 Å, b = 5.273 Å, c = 5.273 Å
α = 65.65°, β = 64.47°, γ = 64.47°
Element x y z (fractional)
Rh (0.500, 0.256, 0.744)
Rh (0.500, 0.744, 0.256)
Pa (0.808, 0.692, 0.692)
Ga (0.000, 0.000, 0.000)
Pa (0.192, 0.308, 0.308)

=====

[14]
The following is a DFT calculation (GGA-PBE) of a relaxed Ac6PrPb2 crystal.

- DOS(E_F) (states/eV/f.u.) = 10.3
- energy of formation from the pure elements (kJ/mol of formula units) = -153

a = 6.441 Å, b = 10.795 Å, c = 10.795 Å
α = 71.98°, β = 83.09°, γ = 83.09°
Element x y z (fractional)
Ac (0.528, 0.325, 0.557)
Ac (0.472, 0.675, 0.443)
Pr (0.750, 0.864, 0.136)
Ac (0.198, 0.994, 0.231)
Pb (0.906, 0.789, 0.520)
Pb (0.406, 0.520, 0.789)
Ac (0.302, 0.769, 0.006)
Ac (0.802, 0.006, 0.769)
Ac (0.668, 0.109, 0.362)
Pb (0.094, 0.211, 0.480)
Ac (0.698, 0.231, 0.994)
Ac (0.832, 0.638, 0.891)
Pb (0.594, 0.480, 0.211)
Ac (0.332, 0.891, 0.638)
Pr (0.250, 0.136, 0.864)
Ac (0.028, 0.557, 0.325)
Ac (0.972, 0.443, 0.675)
Ac (0.168, 0.362, 0.109)

=====

[15]
The following is a DFT calculation (GGA-PBE) of a relaxed Ti6Co2Re crystal.

- DOS(E_F) (states/eV/f.u.) = 9.7
- energy of formation from the pure elements (kJ/mol of formula units) = -74

a = 3.295 Å, b = 6.551 Å, c = 7.397 Å
α = 114.35°, β = 102.87°, γ = 90.00°
Element x y z (fractional)
Re (0.500, 0.000, 0.000)
Ti (0.354, 0.493, 0.708)
Ti (0.720, 0.126, 0.439)
Ti (0.646, 0.507, 0.292)
Ti (0.280, 0.874, 0.561)
Co (0.858, 0.751, 0.717)
Ti (0.945, 0.242, 0.890)
Ti (0.055, 0.758, 0.110)
Co (0.142, 0.249, 0.283)

=====

[16]
The following is a DFT calculation (GGA-PBE) of a relaxed ZrAg3Rh crystal.

- DOS(E_F) (states/eV/f.u.) = 12.2
- energy of formation from the pure elements (kJ/mol of formula units) = 513

a = 4.917 Å, b = 4.917 Å, c = 4.917 Å
α = 90.00°, β = 90.00°, γ = 90.00°
Element x y z (fractional)
Ag (0.500, 0.000, 0.000)
Ag (0.000, 0.000, 0.500)
Rh (0.000, 0.000, 0.000)
Ag (0.000, 0.500, 0.000)
Zr (0.500, 0.500, 0.500)

=====

[17]
The following is a DFT calculation (GGA-PBE) of a relaxed BaLaCd2Ir crystal.

- DOS(E_F) (states/eV/f.u.) = 3.2
- energy of formation from the pure elements (kJ/mol of formula units) = -146

a = 5.475 Å, b = 5.475 Å, c = 5.278 Å
α = 90.00°, β = 90.00°, γ = 90.00°
Element x y z (fractional)
La (0.000, 0.000, 0.500)
Ba (0.500, 0.500, 0.500)
Cd (0.000, 0.500, 0.000)
Ir (0.000, 0.000, 0.000)
Cd (0.500, 0.000, 0.000)

=====

[18]
The following is a DFT calculation (GGA-PBE) of a relaxed Li8Cd3Pt crystal.

- DOS(E_F) (states/eV/f.u.) = 4.7
- energy of formation from the pure elements (kJ/mol of formula units) = -94

a = 7.017 Å, b = 7.017 Å, c = 7.017 Å
α = 93.85°, β = 117.81°, γ = 117.81°
Element x y z (fractional)
Pt (0.000, 0.000, 0.000)
Li (0.256, 0.354, 0.354)
Li (0.472, 0.205, 0.205)
Li (0.000, 0.902, 0.646)
Cd (0.000, 0.500, 0.500)
Li (0.000, 0.795, 0.267)
Li (0.000, 0.646, 0.902)
Li (0.000, 0.267, 0.795)
Li (0.528, 0.733, 0.733)
Cd (0.500, 0.250, 0.750)
Cd (0.500, 0.750, 0.250)
Li (0.744, 0.098, 0.098)

=====

[19]
The following is a DFT calculation (GGA-PBE) of a relaxed Sr2LaHgPd crystal.

- DOS(E_F) (states/eV/f.u.) = 4.3
- energy of formation from the pure elements (kJ/mol of formula units) = -139

a = 5.952 Å, b = 5.952 Å, c = 5.539 Å
α = 90.00°, β = 90.00°, γ = 90.00°
Element x y z (fractional)
Sr (0.500, 0.000, 0.000)
Hg (0.500, 0.500, 0.500)
Pd (0.000, 0.000, 0.000)
Sr (0.000, 0.500, 0.000)
La (0.000, 0.000, 0.500)

=====

[20]
The following is a DFT calculation (GGA-PBE) of a relaxed Ca2CoPtS crystal.

- DOS(E_F) (states/eV/f.u.) = 2.8
- formation energy without anion corrections (eV/atom) = -0.475

a = 5.332 Å, b = 3.951 Å, c = 5.332 Å
α = 90.00°, β = 90.00°, γ = 90.00°
Element x y z (fractional)
Ca (0.500, 0.000, 0.000)
S (0.000, 0.500, 0.000)
Ca (0.000, 0.000, 0.500)
Pt (0.500, 0.500, 0.500)
Co (0.000, 0.000, 0.000)

=====

[21]
The following is a DFT calculation (GGA-PBE) of a relaxed ZrAlCu2 crystal.

- DOS(E_F) (states/eV/f.u.) = 1.8
- energy of formation from the pure elements (kJ/mol of formula units) = -104

a = 4.165 Å, b = 4.759 Å, c = 6.322 Å
α = 90.00°, β = 90.00°, γ = 90.00°
Element x y z (fractional)
Cu (0.000, 0.250, 0.124)
Cu (0.500, 0.000, 0.000)
Zr (0.000, 0.250, 0.684)
Al (0.500, 0.250, 0.360)
Al (0.500, 0.750, 0.640)
Cu (0.500, 0.500, 0.000)
Cu (0.000, 0.750, 0.876)
Zr (0.000, 0.750, 0.316)

=====

[22]
The following is a DFT calculation (GGA-PBE) of a relaxed Tb7SmTm5 crystal.

- DOS(E_F) (states/eV/f.u.) = 26.6
- energy of formation from the pure elements (kJ/mol of formula units) = 313

a = 6.637 Å, b = 8.668 Å, c = 8.668 Å
α = 80.30°, β = 67.49°, γ = 67.49°
Element x y z (fractional)
Sm (0.965, 0.035, 0.035)
Tb (0.520, 0.807, 0.152)
Tm (0.004, 0.001, 0.461)
Tm (0.534, 0.461, 0.001)
Tb (0.018, 0.309, 0.655)
Tb (0.576, 0.424, 0.424)
Tb (0.520, 0.152, 0.807)
Tm (0.004, 0.461, 0.001)
Tb (0.267, 0.233, 0.233)
Tb (0.018, 0.655, 0.309)
Tb (0.270, 0.730, 0.730)
Tm (0.770, 0.730, 0.730)
Tm (0.534, 0.001, 0.461)